Record 1
# CeHf2Zn (PBE, relaxed)
data_CeHf2Zn
_chemical_formula_sum 'Ce1 Hf2 Zn1'
_space_group_name_H-M_alt 'P 1'
_space_group_IT_number 1
_cell_length_a 4.975
_cell_length_b 4.975
_cell_length_c 4.975
_cell_angle_alpha 60.00
_cell_angle_beta 60.00
_cell_angle_gamma 60.00
loop_
_space_group_symop_operation_xyz
'x,y,z'
loop_
_atom_site_label
_atom_site_type_symbol
_atom_site_fract_x
_atom_site_fract_y
_atom_site_fract_z
Ce1 Ce 0.500 0.500 0.500
Hf1 Hf 0.000 0.000 0.000
Hf2 Hf 0.250 0.250 0.250
Zn1 Zn 0.750 0.750 0.750
# DOS at the Fermi energy: 0.15 states/eV/atom
# uncorrected energy: -26.904 eV per cell
# symmetry: F-43m (216)
# magnetic moment: 0.000 μB/atom
# energy of formation: 20 kJ/mol of formula units

Record 2
# Ce2HfZn (PBE, relaxed)
data_Ce2HfZn
_chemical_formula_sum 'Ce2 Hf1 Zn1'
_space_group_name_H-M_alt 'P 1'
_space_group_IT_number 1
_cell_length_a 4.917
_cell_length_b 4.276
_cell_length_c 4.276
_cell_angle_alpha 90.00
_cell_angle_beta 90.00
_cell_angle_gamma 90.00
loop_
_space_group_symop_operation_xyz
'x,y,z'
loop_
_atom_site_label
_atom_site_type_symbol
_atom_site_fract_x
_atom_site_fract_y
_atom_site_fract_z
Zn1 Zn 0.500 0.000 0.000
Hf1 Hf 0.500 0.500 0.500
Ce1 Ce 0.000 0.000 0.500
Ce2 Ce 0.000 0.500 0.000
# DOS at the Fermi energy: 2.33 states/eV/atom
# uncorrected energy: -23.001 eV per cell
# symmetry: P4/mmm (123)
# magnetic moment: 0.022 μB/atom
# energy of formation: 9 kJ/mol of formula units

Record 3
# CeHf2Zn6 (PBE, relaxed)
data_CeHf2Zn6
_chemical_formula_sum 'Ce1 Hf2 Zn6'
_space_group_name_H-M_alt 'P 1'
_space_group_IT_number 1
_cell_length_a 3.134
_cell_length_b 7.708
_cell_length_c 8.320
_cell_angle_alpha 117.59
_cell_angle_beta 112.09
_cell_angle_gamma 90.00
loop_
_space_group_symop_operation_xyz
'x,y,z'
loop_
_atom_site_label
_atom_site_type_symbol
_atom_site_fract_x
_atom_site_fract_y
_atom_site_fract_z
Ce1 Ce 0.000 0.000 0.000
Hf1 Hf 0.667 0.333 0.667
Hf2 Hf 0.333 0.667 0.333
Zn1 Zn 0.841 0.000 0.341
Zn2 Zn 0.159 0.000 0.659
Zn3 Zn 0.159 0.659 0.659
Zn4 Zn 0.500 0.341 0.000
Zn5 Zn 0.500 0.659 0.000
Zn6 Zn 0.841 0.341 0.341
# DOS at the Fermi energy: 1.02 states/eV/atom
# uncorrected energy: -35.324 eV per cell
# symmetry: P6/mmm (191)
# magnetic moment: 0.065 μB/atom
# energy of formation: -177 kJ/mol of formula units

Record 4
# CeHf2Zn (PBE, relaxed)
data_CeHf2Zn
_chemical_formula_sum 'Ce1 Hf2 Zn1'
_space_group_name_H-M_alt 'P 1'
_space_group_IT_number 1
_cell_length_a 3.208
_cell_length_b 3.208
_cell_length_c 8.443
_cell_angle_alpha 90.00
_cell_angle_beta 90.00
_cell_angle_gamma 90.00
loop_
_space_group_symop_operation_xyz
'x,y,z'
loop_
_atom_site_label
_atom_site_type_symbol
_atom_site_fract_x
_atom_site_fract_y
_atom_site_fract_z
Zn1 Zn 0.500 0.500 0.000
Hf1 Hf 0.000 0.000 0.787
Hf2 Hf 0.000 0.000 0.213
Ce1 Ce 0.500 0.500 0.500
# DOS at the Fermi energy: 1.38 states/eV/atom
# uncorrected energy: -27.176 eV per cell
# symmetry: P4/mmm (123)
# magnetic moment: 0.002 μB/atom
# energy of formation: -6 kJ/mol of formula units

Record 5
# CeHfZrZn (PBE, relaxed)
data_CeHfZrZn
_chemical_formula_sum 'Ce1 Hf1 Zr1 Zn1'
_space_group_name_H-M_alt 'P 1'
_space_group_IT_number 1
_cell_length_a 4.997
_cell_length_b 4.997
_cell_length_c 4.997
_cell_angle_alpha 60.00
_cell_angle_beta 60.00
_cell_angle_gamma 60.00
loop_
_space_group_symop_operation_xyz
'x,y,z'
loop_
_atom_site_label
_atom_site_type_symbol
_atom_site_fract_x
_atom_site_fract_y
_atom_site_fract_z
Zn1 Zn 0.250 0.250 0.250
Hf1 Hf 0.750 0.750 0.750
Zr1 Zr 0.000 0.000 0.000
Ce1 Ce 0.500 0.500 0.500
# DOS at the Fermi energy: 0.39 states/eV/atom
# uncorrected energy: -25.614 eV per cell
# symmetry: F-43m (216)
# magnetic moment: 0.000 μB/atom
# energy of formation: 9 kJ/mol of formula units

Record 6
# CeHfZr2 (PBE, relaxed)
data_CeHfZr2
_chemical_formula_sum 'Ce1 Hf1 Zr2'
_space_group_name_H-M_alt 'P 1'
_space_group_IT_number 1
_cell_length_a 3.209
_cell_length_b 3.209
_cell_length_c 10.912
_cell_angle_alpha 81.54
_cell_angle_beta 81.54
_cell_angle_gamma 60.00
loop_
_space_group_symop_operation_xyz
'x,y,z'
loop_
_atom_site_label
_atom_site_type_symbol
_atom_site_fract_x
_atom_site_fract_y
_atom_site_fract_z
Ce1 Ce 0.500 0.500 0.501
Hf1 Hf 0.667 0.667 0.999
Zr1 Zr 0.079 0.079 0.762
Zr2 Zr 0.254 0.254 0.238
# DOS at the Fermi energy: 2.02 states/eV/atom
# uncorrected energy: -32.698 eV per cell
# symmetry: R3m (160)
# magnetic moment: 0.000 μB/atom
# energy of formation: 28 kJ/mol of formula units

Record 7
# CeHfZr2 (PBE, relaxed)
data_CeHfZr2
_chemical_formula_sum 'Ce1 Hf1 Zr2'
_space_group_name_H-M_alt 'P 1'
_space_group_IT_number 1
_cell_length_a 3.265
_cell_length_b 5.418
_cell_length_c 6.202
_cell_angle_alpha 115.90
_cell_angle_beta 105.32
_cell_angle_gamma 90.00
loop_
_space_group_symop_operation_xyz
'x,y,z'
loop_
_atom_site_label
_atom_site_type_symbol
_atom_site_fract_x
_atom_site_fract_y
_atom_site_fract_z
Ce1 Ce 0.250 0.750 0.500
Hf1 Hf 0.750 0.250 0.500
Zr1 Zr 0.996 0.997 0.993
Zr2 Zr 0.504 0.504 0.007
# DOS at the Fermi energy: 1.87 states/eV/atom
# uncorrected energy: -32.378 eV per cell
# symmetry: Imm2 (44)
# magnetic moment: 0.000 μB/atom
# energy of formation: 58 kJ/mol of formula units

Record 8
# CeHf2Zr (PBE, relaxed)
data_CeHf2Zr
_chemical_formula_sum 'Ce1 Hf2 Zr1'
_space_group_name_H-M_alt 'P 1'
_space_group_IT_number 1
_cell_length_a 3.203
_cell_length_b 3.203
_cell_length_c 10.860
_cell_angle_alpha 81.52
_cell_angle_beta 81.52
_cell_angle_gamma 60.00
loop_
_space_group_symop_operation_xyz
'x,y,z'
loop_
_atom_site_label
_atom_site_type_symbol
_atom_site_fract_x
_atom_site_fract_y
_atom_site_fract_z
Hf1 Hf 0.253 0.253 0.240
Hf2 Hf 0.747 0.747 0.760
Zr1 Zr 0.000 0.000 0.000
Ce1 Ce 0.500 0.500 0.500
# DOS at the Fermi energy: 1.81 states/eV/atom
# uncorrected energy: -33.941 eV per cell
# symmetry: R-3m (166)
# magnetic moment: 0.000 μB/atom
# energy of formation: 43 kJ/mol of formula units